(1)
# ZnNi4Os GGA-PBE optimized geometry
data_ZnNi4Os
_chemical_formula_sum 'Zn4 Ni16 Os4'
_symmetry_space_group_name_H-M 'F -4 3 m'
_symmetry_Int_Tables_number 216
_symmetry_space_group_name_Hall 'F -4 2 3'
_cell_length_a 6.6253
_cell_length_b 6.6253
_cell_length_c 6.6253
_cell_angle_alpha 90.00
_cell_angle_beta 90.00
_cell_angle_gamma 90.00
loop_
_atom_site_label
_atom_site_fract_x
_atom_site_fract_y
_atom_site_fract_z
_atom_site_occupancy
Zn1 0.0000 0.0000 0.0000 1
Ni1 0.1250 0.1250 0.6250 1
Os1 0.2500 0.2500 0.2500 1
# Magnetization ... 3.7 μB per formula unit
# E_tot ... -138.1 eV for the cell shown


(2)
# YAlTl3 GGA-PBE optimized geometry
data_YAlTl3
_chemical_formula_sum 'Y1 Al1 Tl3'
_symmetry_space_group_name_H-M 'P m -3 m'
_symmetry_Int_Tables_number 221
_symmetry_space_group_name_Hall '-P 4 2 3'
_cell_length_a 5.9097
_cell_length_b 5.9097
_cell_length_c 5.9097
_cell_angle_alpha 90.00
_cell_angle_beta 90.00
_cell_angle_gamma 90.00
loop_
_atom_site_label
_atom_site_fract_x
_atom_site_fract_y
_atom_site_fract_z
_atom_site_occupancy
Y1 0.0000 0.0000 0.0000 1
Al1 0.5000 0.5000 0.5000 1
Tl1 0.0000 0.0000 0.5000 1
# Energy relative to the lowest polymorph listed for this composition ... 0.401 eV/atom
# Magnetization ... 0.0 μB per formula unit
# E_tot ... -13.9 eV for the cell shown


(3)
# LaMn3 GGA-PBE optimized geometry
data_LaMn3
_chemical_formula_sum 'La1 Mn3'
_symmetry_space_group_name_H-M 'P m -3 m'
_symmetry_Int_Tables_number 221
_symmetry_space_group_name_Hall '-P 4 2 3'
_cell_length_a 4.1652
_cell_length_b 4.1652
_cell_length_c 4.1652
_cell_angle_alpha 90.00
_cell_angle_beta 90.00
_cell_angle_gamma 90.00
loop_
_atom_site_label
_atom_site_fract_x
_atom_site_fract_y
_atom_site_fract_z
_atom_site_occupancy
La1 0.0000 0.0000 0.0000 1
Mn1 0.0000 0.5000 0.5000 1
# Magnetization ... 9.5 μB per formula unit
# E_tot ... -30.6 eV for the cell shown


(4)
# RbZrTc3 GGA-PBE optimized geometry
data_RbZrTc3
_chemical_formula_sum 'Rb1 Zr1 Tc3'
_symmetry_space_group_name_H-M 'P m -3 m'
_symmetry_Int_Tables_number 221
_symmetry_space_group_name_Hall '-P 4 2 3'
_cell_length_a 4.6471
_cell_length_b 4.6471
_cell_length_c 4.6471
_cell_angle_alpha 90.00
_cell_angle_beta 90.00
_cell_angle_gamma 90.00
loop_
_atom_site_label
_atom_site_fract_x
_atom_site_fract_y
_atom_site_fract_z
_atom_site_occupancy
Rb1 0.0000 0.0000 0.0000 1
Zr1 0.5000 0.5000 0.5000 1
Tc1 0.0000 0.0000 0.5000 1
# Energy relative to the lowest polymorph listed for this composition ... 0.807 eV/atom
# Magnetization ... 0.0 μB per formula unit
# E_tot ... -27.0 eV for the cell shown


(5)
# La3Pm2Sm2 GGA-PBE optimized geometry
data_La3Pm2Sm2
_chemical_formula_sum 'La6 Pm4 Sm4'
_symmetry_space_group_name_H-M 'C 1 2/m 1'
_symmetry_Int_Tables_number 12
_cell_length_a 17.9225
_cell_length_b 3.5808
_cell_length_c 8.8050
_cell_angle_alpha 90.00
_cell_angle_beta 118.54
_cell_angle_gamma 90.00
loop_
_symmetry_equiv_pos_as_xyz
'x,y,z'
'-x,-y,-z'
'-x,y,-z'
'x,-y,z'
'x+1/2,y+1/2,z'
'-x+1/2,-y+1/2,-z'
'-x+1/2,y+1/2,-z'
'x+1/2,-y+1/2,z'
loop_
_atom_site_label
_atom_site_fract_x
_atom_site_fract_y
_atom_site_fract_z
_atom_site_occupancy
La1 0.0000 0.0000 0.0000 1
La2 0.2134 0.0000 0.2992 1
Pm1 0.0639 0.5000 0.4086 1
Sm1 0.1457 0.0000 0.8295 1
# Energy relative to the lowest polymorph listed for this composition ... 0.060 eV/atom
# Magnetization ... 0.0 μB per formula unit
# E_tot ... -66.0 eV for the cell shown


(6)
# CaAc2Al3Au4 GGA-PBE optimized geometry
data_CaAc2Al3Au4
_chemical_formula_sum 'Ca1 Ac2 Al3 Au4'
_symmetry_space_group_name_H-M 'P -4 m 2'
_symmetry_Int_Tables_number 115
_cell_length_a 4.6564
_cell_length_b 4.6564
_cell_length_c 11.0633
_cell_angle_alpha 90.00
_cell_angle_beta 90.00
_cell_angle_gamma 90.00
loop_
_symmetry_equiv_pos_as_xyz
'x,y,z'
'y,-x,-z'
'-x,-y,z'
'-y,x,-z'
'-x,y,z'
'-y,-x,-z'
'x,-y,z'
'y,x,-z'
loop_
_atom_site_label
_atom_site_fract_x
_atom_site_fract_y
_atom_site_fract_z
_atom_site_occupancy
Ca1 0.0000 0.0000 0.0000 1
Ac1 0.0000 0.5000 0.7277 1
Al1 0.0000 0.5000 0.3849 1
Al2 0.5000 0.5000 0.0000 1
Au1 0.0000 0.0000 0.5000 1
Au2 0.0000 0.5000 0.1532 1
Au3 0.5000 0.5000 0.5000 1
# Magnetization ... 0.0 μB per formula unit
# E_tot ... -41.3 eV for the cell shown


(7)
# Ba2NaHfTl GGA-PBE optimized geometry
data_Ba2NaHfTl
_chemical_formula_sum 'Ba2 Na1 Hf1 Tl1'
_symmetry_space_group_name_H-M 'P 4/m m m'
_symmetry_Int_Tables_number 123
_symmetry_space_group_name_Hall '-P 4 2'
_cell_length_a 6.5996
_cell_length_b 6.5996
_cell_length_c 5.5918
_cell_angle_alpha 90.00
_cell_angle_beta 90.00
_cell_angle_gamma 90.00
loop_
_atom_site_label
_atom_site_fract_x
_atom_site_fract_y
_atom_site_fract_z
_atom_site_occupancy
Ba1 0.0000 0.5000 0.0000 1
Na1 0.0000 0.0000 0.5000 1
Hf1 0.5000 0.5000 0.5000 1
Tl1 0.0000 0.0000 0.0000 1
# Energy relative to the lowest polymorph listed for this composition ... 0.312 eV/atom
# Magnetization ... 2.9 μB per formula unit
# E_tot ... -13.4 eV for the cell shown


(8)
# CdTc2Pt GGA-PBE optimized geometry
data_CdTc2Pt
_chemical_formula_sum 'Cd1 Tc2 Pt1'
_symmetry_space_group_name_H-M 'P 1 2/m 1'
_symmetry_Int_Tables_number 10
_cell_length_a 4.7953
_cell_length_b 2.7881
_cell_length_c 5.0163
_cell_angle_alpha 90.00
_cell_angle_beta 108.36
_cell_angle_gamma 90.00
loop_
_symmetry_equiv_pos_as_xyz
'x,y,z'
'-x,-y,-z'
'-x,y,-z'
'x,-y,z'
loop_
_atom_site_label
_atom_site_fract_x
_atom_site_fract_y
_atom_site_fract_z
_atom_site_occupancy
Cd1 0.0000 0.0000 0.0000 1
Tc1 0.0000 0.5000 0.5000 1
Tc2 0.5000 0.0000 0.5000 1
Pt1 0.5000 0.5000 0.0000 1
# Magnetization ... 0.0 μB per formula unit
# E_tot ... -26.8 eV for the cell shown


(9)
# Li2CaMg GGA-PBE optimized geometry
data_Li2CaMg
_chemical_formula_sum 'Li4 Ca2 Mg2'
_symmetry_space_group_name_H-M 'C m m m'
_symmetry_Int_Tables_number 65
_symmetry_space_group_name_Hall '-C 2 2'
_cell_length_a 6.2355
_cell_length_b 6.8171
_cell_length_c 5.3263
_cell_angle_alpha 90.00
_cell_angle_beta 90.00
_cell_angle_gamma 90.00
loop_
_atom_site_label
_atom_site_fract_x
_atom_site_fract_y
_atom_site_fract_z
_atom_site_occupancy
Li1 0.0000 0.2088 0.0000 1
Ca1 0.0000 0.5000 0.5000 1
Mg1 0.0000 0.0000 0.5000 1
# Magnetization ... 0.0 μB per formula unit
# E_tot ... -13.7 eV for the cell shown


(10)
# FeTeMoN2 GGA-PBE optimized geometry
data_FeTeMoN2
_chemical_formula_sum 'Fe1 Te1 Mo1 N2'
_symmetry_space_group_name_H-M 'P 4/m m m'
_symmetry_Int_Tables_number 123
_symmetry_space_group_name_Hall '-P 4 2'
_cell_length_a 3.7764
_cell_length_b 3.7764
_cell_length_c 5.2830
_cell_angle_alpha 90.00
_cell_angle_beta 90.00
_cell_angle_gamma 90.00
loop_
_atom_site_label
_atom_site_fract_x
_atom_site_fract_y
_atom_site_fract_z
_atom_site_occupancy
Fe1 0.0000 0.0000 0.0000 1
Te1 0.0000 0.0000 0.5000 1
Mo1 0.5000 0.5000 0.5000 1
N1 0.0000 0.5000 0.0000 1
# Formation energy from raw total energies ... 1.29 eV per atom
# Energy relative to the lowest polymorph listed for this composition ... 0.570 eV/atom
# Magnetization ... 3.0 μB per formula unit
# E_tot ... -32.7 eV for the cell shown


(11)
# MgVFeCo GGA-PBE optimized geometry
data_MgVFeCo
_chemical_formula_sum 'Mg4 V4 Fe4 Co4'
_symmetry_space_group_name_H-M 'F -4 3 m'
_symmetry_Int_Tables_number 216
_symmetry_space_group_name_Hall 'F -4 2 3'
_cell_length_a 5.8125
_cell_length_b 5.8125
_cell_length_c 5.8125
_cell_angle_alpha 90.00
_cell_angle_beta 90.00
_cell_angle_gamma 90.00
loop_
_atom_site_label
_atom_site_fract_x
_atom_site_fract_y
_atom_site_fract_z
_atom_site_occupancy
Mg1 0.0000 0.0000 0.0000 1
V1 0.0000 0.0000 0.5000 1
Fe1 0.2500 0.2500 0.7500 1
Co1 0.2500 0.2500 0.2500 1
# Magnetization ... 0.0 μB per formula unit
# E_tot ... -104.8 eV for the cell shown


(12)
# LaSeN3 GGA-PBE optimized geometry
data_LaSeN3
_chemical_formula_sum 'La1 Se1 N3'
_symmetry_space_group_name_H-M 'P m -3 m'
_symmetry_Int_Tables_number 221
_symmetry_space_group_name_Hall '-P 4 2 3'
_cell_length_a 4.3744
_cell_length_b 4.3744
_cell_length_c 4.3744
_cell_angle_alpha 90.00
_cell_angle_beta 90.00
_cell_angle_gamma 90.00
loop_
_atom_site_label
_atom_site_fract_x
_atom_site_fract_y
_atom_site_fract_z
_atom_site_occupancy
La1 0.0000 0.0000 0.0000 1
Se1 0.5000 0.5000 0.5000 1
N1 0.0000 0.0000 0.5000 1
# Formation energy from raw total energies ... 1.85 eV per atom
# Magnetization ... 0.0 μB per formula unit
# E_tot ... -24.1 eV for the cell shown